Entry 1:
! UNiIr | OQMD | PBE-GGA | optimized geometry; values from VASP
&SYSTEM
  ibrav = 0, nat = 3, ntyp = 3
/
ATOMIC_SPECIES
U 238.03 U.upf
Ni 58.69 Ni.upf
Ir 192.22 Ir.upf
CELL_PARAMETERS angstrom
-4.2776 -0.9978 0.0943
-2.1015 -0.2998 3.8466
-2.9439 3.0559 1.1388
ATOMIC_POSITIONS crystal
U 0.0000 0.0000 0.0000
Ni 0.7500 0.7500 0.7500
Ir 0.2500 0.2500 0.2500
! Energy relative to the elements ... 0.53 eV/f.u.
! Excess energy over the best structure of this formula in the dataset ... 310.3 meV/atom
! E ... -8.3960 eV per atom

Entry 2:
! TlCuTe3Pb | OQMD | PBE-GGA | optimized geometry; values from VASP
&SYSTEM
  ibrav = 0, nat = 12, ntyp = 4
/
ATOMIC_SPECIES
Pb 207.20 Pb.upf
Cu 63.55 Cu.upf
Te 127.60 Te.upf
Tl 204.38 Tl.upf
CELL_PARAMETERS angstrom
-9.2694 0.9248 8.0626
-1.4489 -6.9865 -0.8644
1.3704 -6.6565 2.3390
ATOMIC_POSITIONS crystal
Pb 0.2500 0.0000 0.0000
Pb 0.7500 0.0000 0.0000
Cu 0.5000 0.5646 0.5646
Cu 0.0000 0.4354 0.4354
Te 0.8125 0.3378 0.3378
Te 0.5000 0.9541 0.9541
Te 0.0000 0.0459 0.0459
Te 0.1875 0.3378 0.3378
Te 0.3125 0.6622 0.6622
Te 0.6875 0.6622 0.6622
Tl 0.0000 0.7403 0.7403
Tl 0.5000 0.2597 0.2597
! E ... -3.3384 eV per atom

Entry 3:
! GeOsNO | OQMD | PBE-GGA | optimized geometry; values from VASP
&SYSTEM
  ibrav = 0, nat = 8, ntyp = 4
/
ATOMIC_SPECIES
Os 190.23 Os.upf
N 14.01 N.upf
O 16.00 O.upf
Ge 72.64 Ge.upf
CELL_PARAMETERS angstrom
2.6261 -2.6261 0.0000
2.6261 2.6261 0.0000
0.0000 0.0000 8.0127
ATOMIC_POSITIONS crystal
Os 0.5000 0.0000 0.5000
Os 0.0000 0.5000 0.5000
N 0.0000 0.0000 0.3882
N 0.5000 0.5000 0.6118
O 0.0000 0.5000 0.0000
O 0.5000 0.0000 0.0000
Ge 0.0000 0.0000 0.8739
Ge 0.5000 0.5000 0.1260
! Excess energy over the best structure of this formula in the dataset ... 267.2 meV/atom
! E ... -7.1895 eV per atom

Entry 4:
! Li4MgIn2Au | OQMD | PBE-GGA | optimized geometry; values from VASP
&SYSTEM
  ibrav = 0, nat = 8, ntyp = 4
/
ATOMIC_SPECIES
Mg 24.30 Mg.upf
Li 6.94 Li.upf
In 114.82 In.upf
Au 196.97 Au.upf
CELL_PARAMETERS angstrom
4.6624 0.0000 0.0000
0.0000 4.6624 0.0000
0.0000 0.0000 6.6918
ATOMIC_POSITIONS crystal
Mg 0.0000 0.0000 0.5000
Li 0.5000 0.5000 0.5000
Li 0.0000 0.5000 0.2249
Li 0.5000 0.0000 0.7751
Li 0.0000 0.0000 0.0000
In 0.0000 0.5000 0.7584
In 0.5000 0.0000 0.2416
Au 0.5000 0.5000 0.0000
! E ... -2.5893 eV per atom

Entry 5:
! Sc2CuGe | OQMD | PBE-GGA | optimized geometry; values from VASP
&SYSTEM
  ibrav = 0, nat = 4, ntyp = 3
/
ATOMIC_SPECIES
Ge 72.64 Ge.upf
Sc 44.96 Sc.upf
Cu 63.55 Cu.upf
CELL_PARAMETERS angstrom
3.7299 1.5676 2.3219
-0.4957 1.7696 4.2875
1.6060 -2.3524 3.6942
ATOMIC_POSITIONS crystal
Ge 0.0000 0.0000 0.0000
Sc 0.5000 0.5000 0.5000
Sc 0.7500 0.7500 0.7500
Cu 0.2500 0.2500 0.2500
! E ... -5.2399 eV per atom

Entry 6:
! Nd2HoTe3 | OQMD | PBE-GGA | optimized geometry; values from VASP
&SYSTEM
  ibrav = 0, nat = 6, ntyp = 3
/
ATOMIC_SPECIES
Te 127.60 Te.upf
Ho 164.93 Ho.upf
Nd 144.24 Nd.upf
CELL_PARAMETERS angstrom
4.4201 0.0000 0.0000
-2.2101 3.8279 0.0000
0.0000 0.0000 10.9842
ATOMIC_POSITIONS crystal
Te 0.6667 0.3333 0.3454
Te 0.0000 0.0000 0.0000
Te 0.3333 0.6667 0.6546
Ho 0.0000 0.0000 0.5000
Nd 0.6667 0.3333 0.8290
Nd 0.3333 0.6667 0.1710
! E ... -5.2891 eV per atom

Entry 7:
! Er2O | OQMD | PBE-GGA | optimized geometry; values from VASP
&SYSTEM
  ibrav = 0, nat = 6, ntyp = 2
/
ATOMIC_SPECIES
Er 167.26 Er.upf
O 16.00 O.upf
CELL_PARAMETERS angstrom
3.5791 2.0664 5.8446
-3.5791 2.0664 5.8446
0.0000 -4.1328 5.8446
ATOMIC_POSITIONS crystal
Er 0.3750 0.3750 0.3750
Er 0.3750 0.8750 0.3750
Er 0.3750 0.3750 0.8750
Er 0.8750 0.3750 0.3750
O 0.5000 0.5000 0.5000
O 0.2500 0.2500 0.2500
! Excess energy over the best structure of this formula in the dataset ... 866.4 meV/atom
! E ... -5.6544 eV per atom

Entry 8:
! ScFeAgB | OQMD | PBE-GGA | optimized geometry; values from VASP
&SYSTEM
  ibrav = 0, nat = 4, ntyp = 4
/
ATOMIC_SPECIES
Sc 44.96 Sc.upf
Fe 55.84 Fe.upf
B 10.81 B.upf
Ag 107.87 Ag.upf
CELL_PARAMETERS angstrom
3.9350 -1.0933 1.1131
0.7787 -3.8907 1.4746
2.1767 -2.7607 -2.3578
ATOMIC_POSITIONS crystal
Sc 0.5000 0.5000 0.5000
Fe 0.7500 0.7500 0.7500
B 0.0000 0.0000 0.0000
Ag 0.2500 0.2500 0.2500
! Excess energy over the best structure of this formula in the dataset ... 155.9 meV/atom
! E ... -5.4918 eV per atom

Entry 9:
! Pa3Ni3Sb4 | OQMD | PBE-GGA | optimized geometry; values from VASP
&SYSTEM
  ibrav = 0, nat = 20, ntyp = 3
/
ATOMIC_SPECIES
Pa 231.04 Pa.upf
Ni 58.69 Ni.upf
Sb 121.76 Sb.upf
CELL_PARAMETERS angstrom
-4.7051 4.7051 4.7051
4.7051 -4.7051 4.7051
4.7051 4.7051 -4.7051
ATOMIC_POSITIONS crystal
Pa 0.2500 0.1250 0.8750
Pa 0.7500 0.3750 0.6250
Pa 0.1250 0.8750 0.2500
Pa 0.3750 0.6250 0.7500
Pa 0.8750 0.2500 0.1250
Pa 0.6250 0.7500 0.3750
Ni 0.7500 0.8750 0.1250
Ni 0.6250 0.3750 0.2500
Ni 0.2500 0.6250 0.3750
Ni 0.3750 0.2500 0.6250
Ni 0.8750 0.1250 0.7500
Ni 0.1250 0.7500 0.8750
Sb 0.1675 0.5000 0.0000
Sb 0.5000 0.0000 0.1675
Sb 0.8325 0.8325 0.8325
Sb 0.5000 0.0000 0.6675
Sb 0.0000 0.6675 0.5000
Sb 0.6675 0.5000 0.0000
Sb 0.3325 0.3325 0.3325
Sb 0.0000 0.1675 0.5000
! E ... -6.8348 eV per atom

Entry 10:
! Cs2NpAgCl6 | OQMD | PBE-GGA | optimized geometry; values from VASP
&SYSTEM
  ibrav = 0, nat = 10, ntyp = 4
/
ATOMIC_SPECIES
Np 237.00 Np.upf
Cl 35.45 Cl.upf
Ag 107.87 Ag.upf
Cs 132.91 Cs.upf
CELL_PARAMETERS angstrom
-1.0949 5.8409 4.9125
-6.5296 4.0918 -0.2612
-0.1039 -7.2732 2.5681
ATOMIC_POSITIONS crystal
Np 0.0000 0.0000 0.5000
Cl 0.7519 0.7519 0.2509
Cl 0.2481 0.2481 0.7491
Cl 0.2487 0.7526 0.2524
Cl 0.2474 0.7513 0.7476
Cl 0.7513 0.2474 0.7476
Cl 0.7526 0.2487 0.2524
Ag 0.5000 0.5000 0.0000
Cs 0.7498 0.7498 0.7500
Cs 0.2502 0.2502 0.2500
! Excess energy over the best structure of this formula in the dataset ... 0.0 meV/atom
! E ... -4.4694 eV per atom

Entry 11:
! ZnSnB4 | OQMD | PBE-GGA | optimized geometry; values from VASP
&SYSTEM
  ibrav = 0, nat = 6, ntyp = 3
/
ATOMIC_SPECIES
B 10.81 B.upf
Sn 118.71 Sn.upf
Zn 65.41 Zn.upf
CELL_PARAMETERS angstrom
-1.5524 2.6876 3.8301
1.5524 -2.6876 3.8301
1.5524 2.6876 -3.8301
ATOMIC_POSITIONS crystal
B 0.9098 0.2436 0.6661
B 0.5775 0.2436 0.3339
B 0.0902 0.7564 0.3339
B 0.4225 0.7564 0.6661
Sn 0.0000 0.0000 0.0000
Zn 0.5000 0.5000 0.0000
! Excess energy over the best structure of this formula in the dataset ... 56.9 meV/atom
! E ... -4.8239 eV per atom

Entry 12:
! Dy3HoTm2Bi2Os | OQMD | PBE-GGA | optimized geometry; values from VASP
&SYSTEM
  ibrav = 0, nat = 9, ntyp = 5
/
ATOMIC_SPECIES
Bi 208.98 Bi.upf
Ho 164.93 Ho.upf
Os 190.23 Os.upf
Dy 162.50 Dy.upf
Tm 168.93 Tm.upf
CELL_PARAMETERS angstrom
4.2363 0.0000 0.0000
0.0000 7.1397 4.1226
0.0000 -7.1397 4.1226
ATOMIC_POSITIONS crystal
Bi 0.0000 0.6666 0.3324
Bi 0.0000 0.3324 0.6666
Ho 0.0000 0.7675 0.7675
Os 0.5000 0.0021 0.0021
Dy 0.5000 0.3860 0.3860
Dy 0.5000 0.6133 0.0004
Dy 0.5000 0.0004 0.6133
Tm 0.0000 0.2317 0.0000
Tm 0.0000 0.0000 0.2317
! E ... -5.7519 eV per atom